# 1
DFT (PBE) results for a geometry-optimized RbSb2Ir2 structure.

Unit cell a=4.003 b=4.003 c=8.557 alpha=90.00 beta=90.00 gamma=90.00
Space group P4/mmm (No. 123)
Symmetry-distinct sites (fractional):
Rb (0.000, 0.000, 0.000) x1
Sb (0.500, 0.500, 0.291) x2
Ir (0.000, 0.500, 0.500) x2

Computed properties:
Density ... 8.64 Mg/m³
Electronic total energy ... -5.4561 eV/atom
Raw formation energy ... -69 meV per atom


# 2
DFT (PBE) results for a geometry-optimized V6GaTc structure.

Unit cell a=4.229 b=6.054 c=8.505 alpha=90.00 beta=90.00 gamma=90.00
Space group Amm2 (No. 38)
Symmetry-distinct sites (fractional):
V (0.000, 0.000, 0.000) x2
V (0.000, 0.234, 0.746) x4
V (0.500, 0.000, 0.747) x2
V (0.500, 0.249, 0.995) x4
Ga (0.500, 0.000, 0.244) x2
Tc (0.000, 0.000, 0.489) x2

Computed properties:
Density ... 7.22 Mg/m³
Electronic total energy ... -8.6969 eV/atom
Energy of formation from the pure elements ... -0.18 eV per atom


# 3
DFT (PBE) results for a geometry-optimized Er4GeP2S structure.

Unit cell a=6.921 b=3.951 c=6.924 alpha=90.00 beta=109.18 gamma=90.00
Space group P2/m (No. 10)
Symmetry-distinct sites (fractional):
Er (0.246, 0.000, 0.243) x2
Er (0.254, 0.500, 0.757) x2
Ge (0.000, 0.000, 0.500) x1
P (0.000, 0.500, 0.000) x1
P (0.500, 0.000, 0.000) x1
S (0.500, 0.500, 0.500) x1

Computed properties:
Density ... 7.76 Mg/m³
Electronic total energy ... -6.2650 eV/atom
Raw formation energy ... -1538 meV per atom


Question: What is the formula in the second record?
Answer: V6GaTc